A relaxed structure of Mg2AlFe. Source: Alexandria, functional PBEsol.

Cell lengths 2.777, 4.538, 5.158 Å; angles 90.00, 100.38, 90.00 degrees
Fractional coordinates of all 4 atoms:
Mg: 0.226 0.000 0.263
Mg: 0.774 0.000 0.737
Al: 0.500 0.500 0.000
Fe: 0.000 0.500 0.500

- DOS(E_F): 0.72 states/eV/atom
- Formation energy from the elements: 214.1 meV per atom

***

A relaxed structure of Cd2CoSbC. Source: Alexandria, functional PBEsol.

Cell lengths 4.863, 4.863, 3.645 Å; angles 90.00, 90.00, 90.00 degrees
Fractional coordinates of all 5 atoms:
Cd: 0.000 0.500 0.000
Cd: 0.500 0.000 0.000
Co: 0.000 0.000 0.500
Sb: 0.500 0.500 0.500
C: 0.000 0.000 0.000

- E_tot: -21.06 eV per cell
- DOS(E_F): 0.67 states/eV/atom

***

A relaxed structure of Os3WN. Source: Alexandria, functional PBEsol.

Cell lengths 4.018, 4.018, 4.018 Å; angles 90.00, 90.00, 90.00 degrees
Fractional coordinates of all 5 atoms:
Os: 0.000 0.000 0.500
Os: 0.000 0.500 0.000
Os: 0.500 0.000 0.000
W: 0.500 0.500 0.500
N: 0.000 0.000 0.000

- E_tot: -56.15 eV per cell
- DOS(E_F): 0.75 states/eV/atom

***

A relaxed structure of MgCu4Ag. Source: Alexandria, functional PBEsol.

Cell lengths 4.842, 4.842, 4.842 Å; angles 60.00, 60.00, 60.00 degrees
Fractional coordinates of all 6 atoms:
Mg: 0.000 0.000 0.000
Cu: 0.125 0.625 0.625
Cu: 0.625 0.125 0.625
Cu: 0.625 0.625 0.125
Cu: 0.625 0.625 0.625
Ag: 0.250 0.250 0.250

- DOS(E_F): 0.37 states/eV/atom
- Formation energy from the elements: -68.4 meV per atom

***

A relaxed structure of NaSi2Hg2. Source: Alexandria, functional PBEsol.

Cell lengths 6.995, 6.995, 6.995 Å; angles 146.54, 146.54, 48.04 degrees
Fractional coordinates of all 5 atoms:
Na: 0.000 0.000 0.000
Si: 0.250 0.750 0.500
Si: 0.750 0.250 0.500
Hg: 0.393 0.393 0.000
Hg: 0.607 0.607 0.000

- E_tot: -13.35 eV per cell
- DOS(E_F): 0.22 states/eV/atom

***

A relaxed structure of Sn3GeI. Source: Alexandria, functional PBEsol.

Cell lengths 5.720, 5.720, 5.720 Å; angles 90.00, 90.00, 90.00 degrees
Fractional coordinates of all 5 atoms:
Sn: 0.000 0.000 0.500
Sn: 0.000 0.500 0.000
Sn: 0.500 0.000 0.000
Ge: 0.500 0.500 0.500
I: 0.000 0.000 0.000

- Offset from the most stable computed form: 0.629 eV per atom
- DOS(E_F): 0.50 states/eV/atom

***

A relaxed structure of KLa2SiS. Source: Alexandria, functional PBEsol.

Cell lengths 5.491, 5.491, 4.961 Å; angles 90.00, 90.00, 90.00 degrees
Fractional coordinates of all 5 atoms:
K: 0.000 0.000 0.000
La: 0.000 0.500 0.500
La: 0.500 0.000 0.500
Si: 0.500 0.500 0.000
S: 0.500 0.500 0.500

- E_tot: -23.67 eV per cell
- DOS(E_F): 0.61 states/eV/atom

***

A relaxed structure of MgNi. Source: Alexandria, functional PBEsol.

Cell lengths 2.784, 4.449, 4.461 Å; angles 90.00, 90.00, 90.00 degrees
Fractional coordinates of all 4 atoms:
Mg: 0.250 0.250 0.115
Mg: 0.750 0.750 0.885
Ni: 0.250 0.750 0.408
Ni: 0.750 0.250 0.592

- DOS(E_F): 0.64 states/eV/atom
- Formation energy from the elements: 71.1 meV per atom

***

A relaxed structure of YHg8. Source: Alexandria, functional PBEsol.

Cell lengths 7.207, 7.207, 7.207 Å; angles 95.17, 95.17, 145.07 degrees
Fractional coordinates of all 9 atoms:
Y: 0.000 0.000 0.000
Hg: 0.000 0.334 0.334
Hg: 0.000 0.666 0.666
Hg: 0.332 0.332 0.664
Hg: 0.332 0.668 0.000
Hg: 0.334 0.000 0.334
Hg: 0.666 0.000 0.666
Hg: 0.668 0.332 0.000
Hg: 0.668 0.668 0.336

- DOS(E_F): 0.42 states/eV/atom
- Formation energy from the elements: -212.3 meV per atom

***

A relaxed structure of CdInAs2. Source: Alexandria, functional PBEsol.

Cell lengths 5.412, 5.412, 2.896 Å; angles 90.00, 90.00, 90.00 degrees
Fractional coordinates of all 4 atoms:
Cd: 0.000 0.000 0.000
In: 0.500 0.500 0.000
As: 0.000 0.500 0.500
As: 0.500 0.000 0.500

- DOS(E_F): 0.57 states/eV/atom
- Formation energy from the elements: 189.1 meV per atom

***

A relaxed structure of LaYSi2. Source: Alexandria, functional PBEsol.

Cell lengths 6.150, 6.150, 6.150 Å; angles 144.44, 137.34, 56.71 degrees
Fractional coordinates of all 4 atoms:
La: 0.000 0.000 0.000
Y: 0.265 0.765 0.500
Si: 0.579 0.579 0.000
Si: 0.730 0.230 0.500

- Offset from the most stable computed form: 0.190 eV per atom
- DOS(E_F): 0.61 states/eV/atom

***

A relaxed structure of MnCd2In. Source: Alexandria, functional PBEsol.

Cell lengths 2.998, 2.998, 8.699 Å; angles 90.00, 90.00, 90.00 degrees
Fractional coordinates of all 4 atoms:
Mn: 0.000 0.000 0.000
Cd: 0.500 0.500 0.216
Cd: 0.500 0.500 0.784
In: 0.000 0.000 0.500

- DOS(E_F): 0.65 states/eV/atom
- Formation energy from the elements: 232.0 meV per atom

***

Question: Look up the DOS(E_F) of the third one.
Answer: 0.75 states/eV/atom